1.
The following is a GGA-PBE calculation of an optimized crystal structure of PmScReO6, from Alexandria.

It has space group P312 (No. 149), with a = 5.3154 Å, b = 5.3154 Å, c = 5.0235 Å, α = 90.00°, β = 90.00° and γ = 120.00°. Symmetry generates all atoms from Pm at (0.0000, 0.0000, 0.0000), Sc at (0.3333, 0.6667, 0.5000), Re at (0.6667, 0.3333, 0.5000) and O at (0.3711, 0.0243, 0.7166).

2.
The following is a GGA-PBE calculation of an optimized crystal structure of Pm2SmReO8, from Alexandria.

It has space group Cmmm (No. 65), with a = 7.292 Å, b = 7.336 Å, c = 6.937 Å, α = 90.00°, β = 90.00° and γ = 90.00°. Symmetry generates all atoms from Pm at (0.000, 0.000, 0.249), Sm at (0.000, 0.500, 0.500), Re at (0.000, 0.500, 0.000), O at (0.000, 0.322, 0.202), O at (0.192, 0.000, 0.500) and O at (0.241, 0.000, 0.000).

3.
The following is a GGA-PBE calculation of an optimized crystal structure of SrPmReO6, from Alexandria.

It has space group P312 (No. 149), with a = 5.6844 Å, b = 5.6844 Å, c = 5.1796 Å, α = 90.00°, β = 90.00° and γ = 120.00°. Symmetry generates all atoms from Sr at (0.0000, 0.0000, 0.0000), Pm at (0.3333, 0.6667, 0.5000), Re at (0.6667, 0.3333, 0.5000) and O at (0.3927, 0.0544, 0.7089).

4.
The following is a GGA-PBE calculation of an optimized crystal structure of Sr2PmReO6, from Alexandria.

It has space group P2_1/c (No. 14), with a = 5.881 Å, b = 5.999 Å, c = 10.191 Å, α = 90.00°, β = 124.78° and γ = 90.00°. Symmetry generates all atoms from Sr at (0.239, 0.042, 0.250), Pm at (0.500, 0.000, 0.000), Re at (0.000, 0.000, 0.500), O at (0.139, 0.229, 0.952), O at (0.227, 0.692, 0.957) and O at (0.314, 0.027, 0.729).

no.,electronic total energy (eV/f.u.)
1,-76.82
2,-98.67
3,-70.54
4,-75.92